The following is a PBE-GGA calculation of a geometry-optimized Cu2NiI4 structure, from Alexandria via LeMat-Bulk.

Computed properties:
* total moment: 0.287 μB/atom
* formation energy without anion corrections: -0.0963 eV/atom
* offset from the most stable computed form: 0.06 eV per formula unit

Structure (CIF):
```
data_Cu2NiI4
_chemical_formula_sum 'Cu2 Ni1 I4'
_cell_length_a 6.6008
_cell_length_b 5.8451
_cell_length_c 5.8450
_cell_angle_alpha 90.00
_cell_angle_beta 90.00
_cell_angle_gamma 90.00
_space_group_name_H-M_alt 'P 1'
_space_group_IT_number 1
_space_group_name_Hall 'P 1'
loop_
_atom_site_label
_atom_site_type_symbol
_atom_site_fract_x
_atom_site_fract_y
_atom_site_fract_z
I1 I 0.7560 0.7536 0.7536
I2 I 0.2440 0.7536 0.2464
I3 I 0.7560 0.2464 0.2464
I4 I 0.2440 0.2464 0.7536
Cu1 Cu 0.0000 0.5000 0.0000
Cu2 Cu 0.0000 0.0000 0.5000
Ni1 Ni 0.0000 0.0000 0.0000
```